Below is a relaxed structure of KNi3I, with properties calculated at the PBE-GGA level.

Calculated values
Total magnetic moment = 0.00 Bohr magnetons per cell
Energy above the most stable polymorph in this dataset = 0 meV per atom
Energy relative to the elements, uncorrected = 751.9 meV/atom
Mass density = 5.19 Mg/m³
Space group = Pm-3m

Unit cell a=4.7847 b=4.7847 c=4.7847 alpha=90.00 beta=90.00 gamma=90.00
Closest atoms and distances in Å follow each position.
Fractional coordinates of all 5 atoms:
K (0.0000, 0.0000, 0.0000)  12 Ni 3.38
Ni (0.0000, 0.5000, 0.5000)  2 I 2.39
Ni (0.5000, 0.0000, 0.5000)  2 I 2.39
Ni (0.5000, 0.5000, 0.0000)  2 I 2.39
I (0.5000, 0.5000, 0.5000)  6 Ni 2.39